[1]
A relaxed structure of Tb2Pr6SmHo. Source: Alexandria, functional PBE.

Summary:
- D(E_F) (states/eV per cell) = 29.15
- ΔE_f (meV per atom) = 114
- VASP energy (eV/atom) = -4.610

Unit cell a=9.019 b=9.019 c=9.780 alpha=94.03 beta=94.03 gamma=117.67
Atoms (fractional coordinates):
Tb 0.200 0.297 0.046
Tb 0.297 0.200 0.546
Tb 0.703 0.800 0.454
Tb 0.800 0.703 0.954
Pr 0.008 0.565 0.188
Pr 0.116 0.759 0.554
Pr 0.241 0.884 0.946
Pr 0.294 0.509 0.382
Pr 0.435 0.992 0.312
Pr 0.491 0.706 0.118
Pr 0.509 0.294 0.882
Pr 0.565 0.008 0.688
Pr 0.706 0.491 0.618
Pr 0.759 0.116 0.054
Pr 0.884 0.241 0.446
Pr 0.992 0.435 0.812
Sm 0.026 0.974 0.250
Sm 0.974 0.026 0.750
Ho 0.411 0.589 0.750
Ho 0.589 0.411 0.250

[2]
A relaxed structure of PrTc2H8. Source: Alexandria, functional PBE.

Summary:
- D(E_F) (states/eV per cell) = 3.06
- VASP energy (eV/atom) = -4.877

Unit cell a=4.724 b=4.724 c=4.622 alpha=91.35 beta=91.35 gamma=118.46
Atoms (fractional coordinates):
Pr 0.000 0.000 0.000
Tc 0.273 0.588 0.527
Tc 0.588 0.273 0.527
H 0.105 0.574 0.193
H 0.196 0.939 0.485
H 0.487 0.487 0.821
H 0.515 0.962 0.773
H 0.561 0.561 0.282
H 0.574 0.105 0.193
H 0.939 0.196 0.485
H 0.962 0.515 0.773